(1)
BaCd2Ni after structural relaxation. Source: Alexandria, functional PBE.

Geometry as POSCAR:
```
BaCd2Ni
1.0
0.000 3.730 3.730
3.730 0.000 3.730
3.730 3.730 0.000
Ba Cd Ni
1 2 1
direct
0.000 0.000 0.000
0.500 0.500 0.500
0.750 0.750 0.750
0.250 0.250 0.250
```

Formation energy: 125 meV/atom
ρ: 6.73 g cm⁻³
Total moment: 0.000 μB per atom
SG: No. 216
Total energy: -9.03 eV per formula unit



(2)
BaCdNi3 after structural relaxation. Source: Alexandria, functional PBE.

Geometry as POSCAR:
```
BaCdNi3
1.0
4.960 0.000 0.000
0.000 4.960 0.000
0.000 0.000 4.960
Ba Cd Ni
1 1 3
direct
0.000 0.000 0.000
0.500 0.500 0.500
0.000 0.000 0.500
0.000 0.500 0.000
0.500 0.000 0.000
```

Formation energy: 1577 meV/atom
ρ: 5.80 g cm⁻³
Total moment: 0.000 μB per atom
SG: No. 221
Total energy: -12.30 eV per formula unit
Energy above the lowest structure with this stoichiometry: 4.752 eV per formula unit



(3)
BaCd2Ni after structural relaxation. Source: Alexandria, functional PBE.

Geometry as POSCAR:
```
BaCd2Ni
1.0
-2.307 2.307 4.907
2.307 -2.307 4.907
2.307 2.307 -4.907
Ba Cd Ni
1 2 1
direct
0.000 0.000 0.000
0.250 0.750 0.500
0.750 0.250 0.500
0.500 0.500 0.000
```

Formation energy: 158 meV/atom
ρ: 6.69 g cm⁻³
Total moment: 0.000 μB per atom
SG: No. 139
Total energy: -8.90 eV per formula unit



(4)
BaCd2Ni after structural relaxation. Source: Alexandria, functional PBE.

Geometry as POSCAR:
```
BaCd2Ni
1.0
5.219 0.000 0.000
0.000 4.452 0.000
-2.054 0.000 4.819
Ba Cd Ni
1 2 1
direct
0.000 0.000 0.000
0.329 0.500 0.668
0.671 0.500 0.332
0.500 0.000 0.500
```

Formation energy: -42 meV/atom
ρ: 6.24 g cm⁻³
Total moment: 0.000 μB per atom
SG: No. 10
Total energy: -9.70 eV per formula unit



(5)
BaCdNi3 after structural relaxation. Source: Alexandria, functional PBE.

Geometry as POSCAR:
```
BaCdNi3
1.0
4.856 0.000 0.000
0.000 4.856 0.000
0.000 0.000 4.856
Ba Cd Ni
1 1 3
direct
0.000 0.000 0.000
0.500 0.500 0.500
0.000 0.500 0.500
0.500 0.000 0.500
0.500 0.500 0.000
```

Formation energy: 626 meV/atom
ρ: 6.17 g cm⁻³
Total moment: 0.000 μB per atom
SG: No. 221
Total energy: -17.05 eV per formula unit
Energy above the lowest structure with this stoichiometry: 0.000 eV per formula unit



(6)
BaCd2Ni after structural relaxation. Source: Alexandria, functional PBE.

Geometry as POSCAR:
```
BaCd2Ni
1.0
-1.745 2.728 5.393
1.745 -2.728 5.393
1.745 2.728 -5.393
Ba Cd Ni
1 2 1
direct
0.000 0.000 0.000
0.304 0.804 0.500
0.696 0.196 0.500
0.500 0.500 0.000
```

Formation energy: 33 meV/atom
ρ: 6.80 g cm⁻³
Total moment: 0.000 μB per atom
SG: No. 71
Total energy: -9.40 eV per formula unit



(7)
Ba2CdNi2 after structural relaxation. Source: Alexandria, functional PBE.

Geometry as POSCAR:
```
Ba2CdNi2
1.0
-1.822 1.822 10.359
1.822 -1.822 10.359
1.822 1.822 -10.359
Ba Cd Ni
2 1 2
direct
0.130 0.130 0.000
0.870 0.870 0.000
0.500 0.500 0.000
0.250 0.750 0.500
0.750 0.250 0.500
```

Formation energy: 170 meV/atom
ρ: 6.09 g cm⁻³
Total moment: 0.154 μB per atom
SG: No. 139
Total energy: -15.48 eV per formula unit



(8)
BaCd2Ni after structural relaxation. Source: Alexandria, functional PBE.

Geometry as POSCAR:
```
BaCd2Ni
1.0
4.287 0.000 0.000
0.000 4.452 0.000
0.000 0.000 5.578
Ba Cd Ni
1 2 1
direct
0.000 0.000 0.000
0.000 0.500 0.500
0.500 0.000 0.500
0.500 0.500 0.000
```

Formation energy: 174 meV/atom
ρ: 6.56 g cm⁻³
Total moment: 0.000 μB per atom
SG: No. 47
Total energy: -8.84 eV per formula unit



(9)
BaCd2Ni after structural relaxation. Source: Alexandria, functional PBE.

Geometry as POSCAR:
```
BaCd2Ni
1.0
3.460 0.000 0.000
0.000 3.460 0.000
0.000 0.000 8.103
Ba Cd Ni
1 2 1
direct
0.000 0.000 0.000
0.500 0.500 0.325
0.500 0.500 0.675
0.000 0.000 0.500
```

Formation energy: 38 meV/atom
ρ: 7.20 g cm⁻³
Total moment: 0.000 μB per atom
SG: No. 123
Total energy: -9.38 eV per formula unit



(10)
BaCd4Ni after structural relaxation. Source: Alexandria, functional PBE.

Geometry as POSCAR:
```
BaCd4Ni
1.0
5.000 0.000 0.000
0.000 5.000 0.000
0.000 0.000 7.643
Ba Cd Ni
1 4 1
direct
0.000 0.000 0.000
0.000 0.500 0.500
0.500 0.000 0.500
0.500 0.500 0.181
0.500 0.500 0.819
0.500 0.500 0.500
```

Formation energy: -25 meV/atom
ρ: 5.61 g cm⁻³
Total moment: 0.000 μB per atom
SG: No. 123
Total energy: -11.52 eV per formula unit
Energy above the lowest structure with this stoichiometry: 0.000 eV per formula unit



The lowest formation energy belongs to which entry?
number 4